Record 1
A geometry-optimized AgBiSe3 structure. Source: Alexandria via LeMat-Bulk, functional PBE-GGA.

Geometry as extended XYZ:
```
5
Lattice="-1.035 3.075 -3.885 2.543 -3.077 -3.113 -4.253 -2.589 -0.916" Properties=species:S:1:pos:R:3 pbc="T T T"
Se 1.272 -1.538 -1.556
Se -2.126 -1.294 -0.458
Se -0.517 1.538 -1.943
Bi -1.372 -1.295 -3.957
Ag 0.000 0.000 0.000
```

Summary:
- Offset from the most stable computed form: 504 meV per atom

***

Record 2
A geometry-optimized AgBi2Se4 structure. Source: Alexandria via LeMat-Bulk, functional PBE-GGA.

Geometry as extended XYZ:
```
7
Lattice="-3.898 0.568 -0.887 -2.807 -6.947 -1.425 -1.923 -3.201 6.307" Properties=species:S:1:pos:R:3 pbc="T T T"
Ag 0.000 0.000 0.000
Bi -5.742 -5.566 3.181
Bi -2.886 -4.013 0.814
Se -5.116 -2.878 2.153
Se -3.512 -6.701 1.842
Se -6.456 -8.129 4.596
Se -2.171 -1.450 -0.601
```

Summary:
- Offset from the most stable computed form: 0 meV per atom

***

Record 3
A geometry-optimized Ag7BiSe6 structure. Source: Alexandria via LeMat-Bulk, functional PBE-GGA.

Geometry as extended XYZ:
```
14
Lattice="3.401 -2.320 6.174 2.467 -6.983 0.477 8.271 -1.055 -0.493" Properties=species:S:1:pos:R:3 pbc="T T T"
Ag 6.876 -4.031 5.923
Ag 7.123 -2.622 2.643
Ag 9.016 -5.739 4.700
Ag 12.062 -7.296 3.993
Ag 4.875 -4.040 1.255
Ag 7.032 -8.251 3.101
Ag 7.557 -6.369 0.826
Bi 5.994 -9.261 6.597
Se 9.162 -3.052 4.300
Se 4.890 -3.624 3.913
Se 6.508 -6.644 5.402
Se 7.652 -3.775 0.237
Se 9.648 -7.007 2.446
Se 5.079 -6.800 1.954
```

***

Record 4
A geometry-optimized AgBi2Se4 structure. Source: Alexandria via LeMat-Bulk, functional PBE-GGA.

Geometry as extended XYZ:
```
14
Lattice="-3.891 -0.188 -1.186 2.664 -6.475 -0.727 -3.890 -3.089 13.256" Properties=species:S:1:pos:R:3 pbc="T T T"
Ag -4.720 -3.719 9.087
Ag -0.397 -6.032 2.257
Bi -1.470 -3.146 5.321
Bi -5.040 -7.711 10.769
Bi -0.077 -2.040 0.575
Bi -3.647 -6.605 6.022
Se -2.036 -4.175 0.349
Se -2.993 -4.935 3.611
Se -3.081 -5.576 10.995
Se -2.124 -4.816 7.733
Se -4.180 -8.654 8.095
Se -0.937 -1.098 3.249
Se -1.946 -0.094 -0.593
Se -3.891 -1.638 6.035
```

Summary:
- Offset from the most stable computed form: 73 meV per atom

***

Record 5
A geometry-optimized Sm2Ag3BiSe6 structure. Source: Alexandria via LeMat-Bulk, functional PBE-GGA.

Geometry as extended XYZ:
```
12
Lattice="-3.830 1.735 -0.553 -1.869 -5.827 -5.324 -0.935 -4.768 7.777" Properties=species:S:1:pos:R:3 pbc="T T T"
Sm -5.076 -5.679 1.080
Sm -1.559 -3.181 0.820
Ag -2.850 -2.046 -2.939
Ag -4.134 -2.801 3.582
Ag -2.501 -6.059 -1.682
Bi -1.915 0.867 -0.277
Se -3.637 -8.020 0.032
Se -3.929 -3.762 -0.845
Se -2.998 -0.840 1.868
Se -5.241 -4.525 5.842
Se -1.393 -4.334 -3.941
Se -2.706 -5.098 2.745
```

***

Record 6
A geometry-optimized AgSnBi2Se5 structure. Source: Alexandria via LeMat-Bulk, functional PBE-GGA.

Geometry as extended XYZ:
```
18
Lattice="-3.059 2.552 0.891 -1.561 -2.156 -8.542 -8.057 -11.156 4.288" Properties=species:S:1:pos:R:3 pbc="T T T"
Ag -9.523 -9.371 3.494
Ag -6.291 -5.731 -5.188
Sn -7.312 -4.968 -1.523
Sn -1.642 -0.635 -3.822
Bi -9.837 -7.770 -2.170
Bi -5.727 -7.451 1.677
Bi -2.904 -3.076 -1.159
Bi -5.449 -1.228 -5.839
Se -2.617 -0.924 -6.339
Se -10.095 -9.082 0.702
Se -9.358 -9.602 -4.633
Se -7.103 -8.081 -1.244
Se -8.750 -5.826 -4.006
Se -6.360 -4.710 1.006
Se -4.898 -4.883 -2.833
Se -3.849 -1.891 1.552
Se -4.506 -1.199 -2.688
Se -1.019 -0.905 -0.905
```

***

Record 7
A geometry-optimized AgSnBiSe3 structure. Source: Alexandria via LeMat-Bulk, functional PBE-GGA.

Geometry as extended XYZ:
```
12
Lattice="-2.736 -3.044 0.521 5.053 -5.324 -4.569 3.401 -1.589 8.569" Properties=species:S:1:pos:R:3 pbc="T T T"
Ag 1.714 -2.104 4.876
Ag 4.003 -7.854 -0.355
Sn 1.244 -2.255 1.528
Sn 4.474 -7.703 2.993
Bi 3.232 -4.603 -1.749
Bi 2.486 -5.355 6.270
Se 2.923 -7.288 -2.720
Se 2.795 -2.670 7.241
Se 4.782 -5.526 0.997
Se 0.935 -4.432 3.524
Se 0.606 -4.761 -0.127
Se 5.111 -5.196 4.648
```

***

Record 8
A geometry-optimized AgSnBi2Se4 structure. Source: Alexandria via LeMat-Bulk, functional PBE-GGA.

Geometry as extended XYZ:
```
8
Lattice="4.444 0.000 0.000 0.000 7.230 -0.015 0.000 -2.656 6.678" Properties=species:S:1:pos:R:3 pbc="T T T"
Ag 0.000 0.000 0.000
Sn 2.222 3.615 -0.008
Bi 2.222 -1.328 3.339
Bi 0.000 2.287 3.331
Se 2.222 1.112 1.624
Se 2.222 3.462 5.039
Se 0.000 -0.212 5.016
Se 0.000 4.785 1.647
```

***

Number 1: ΔE_f (raw) 0.3759 eV per atom, total magnetic moment 0.000 μB per atom, volume 129.7 Å³ per cell. Number 2: ΔE_f (raw) -0.2430 eV per atom, total magnetic moment 0.000 μB per atom, volume 204.0 Å³ per cell. Number 3: ΔE_f (raw) -0.0463 eV per atom, total magnetic moment 0.000 μB per atom, volume 341.9 Å³ per cell. Number 4: ΔE_f (raw) -0.1701 eV per atom, total magnetic moment 0.000 μB per atom, volume 388.4 Å³ per cell. Number 5: ΔE_f (raw) -0.8613 eV per atom, total magnetic moment 0.000 μB per atom, volume 302.7 Å³ per cell. Number 6: ΔE_f (raw) -0.2715 eV per atom, total magnetic moment 0.000 μB per atom, volume 512.6 Å³ per cell. Number 7: ΔE_f (raw) -0.2823 eV per atom, total magnetic moment 0.000 μB per atom, volume 329.1 Å³ per cell. Number 8: ΔE_f (raw) -0.2677 eV per atom, total magnetic moment 0.000 μB per atom, volume 214.4 Å³ per cell.